Below is Dy2Th3Ru2 after structural relaxation, with properties calculated at the PBE level. Values from VASP.

Quantum ESPRESSO input file:
```
&SYSTEM
  ibrav = 0, nat = 7, ntyp = 3
/
ATOMIC_SPECIES
Th 232.04 Th.upf
Ru 101.07 Ru.upf
Dy 162.50 Dy.upf
CELL_PARAMETERS angstrom
3.7033 0.0000 1.0407
1.3240 5.5034 2.3979
-0.5522 -0.1011 9.0746
ATOMIC_POSITIONS crystal
Th 0.6217 0.1859 0.5706
Th 0.5000 0.0000 0.0000
Th 0.3783 0.8141 0.4294
Ru 0.1386 0.9280 0.7947
Ru 0.8614 0.0720 0.2053
Dy 0.1647 0.4695 0.2010
Dy 0.8353 0.5305 0.7990
```

## Properties
Formation energy = -0.3273 eV per atom
Total moment = 0.00 μB/f.u.
Energy = -7.472 eV per atom
SG = C2/m (12)
Crystal system = monoclinic
Fermi-level density of states = 7.69 states/eV/cell



Below is CeGdDy2 after structural relaxation, with properties calculated at the PBE level. Values from VASP.

Quantum ESPRESSO input file:
```
&SYSTEM
  ibrav = 0, nat = 4, ntyp = 3
/
ATOMIC_SPECIES
Gd 157.25 Gd.upf
Dy 162.50 Dy.upf
Ce 140.12 Ce.upf
CELL_PARAMETERS angstrom
-4.4628 1.5954 3.0986
-5.2493 -1.0439 -1.8490
-3.1900 -3.8983 2.5866
ATOMIC_POSITIONS crystal
Gd 0.5000 0.5000 0.5000
Dy 0.7500 0.7500 0.7500
Ce 0.0000 0.0000 0.0000
Dy 0.2500 0.2500 0.2500
```

## Properties
Formation energy = 0.1745 eV per atom
Total moment = 6.82 μB/f.u.
Energy = -7.130 eV per atom
Distance to the lowest polymorph of the same formula = 114 meV per atom
SG = Fm-3m (225)
Crystal system = cubic
Fermi-level density of states = 11.75 states/eV/cell



Below is AcPmSm2Y5 after structural relaxation, with properties calculated at the PBE level. Values from VASP.

Quantum ESPRESSO input file:
```
&SYSTEM
  ibrav = 0, nat = 18, ntyp = 4
/
ATOMIC_SPECIES
Y 88.91 Y.upf
Sm 150.36 Sm.upf
Ac 227.00 Ac.upf
Pm 145.00 Pm.upf
CELL_PARAMETERS angstrom
-6.8997 5.3047 -1.7950
1.4511 -1.0576 -8.7031
-2.0578 -8.3570 5.2093
ATOMIC_POSITIONS crystal
Y 0.5000 0.5000 0.0000
Sm 0.6143 0.1143 0.0000
Y 0.4207 0.3415 0.2622
Y 0.3415 0.8415 0.2622
Ac 0.2500 0.7500 0.5000
Y 0.9207 0.4207 0.2622
Ac 0.7500 0.2500 0.5000
Y 0.1585 0.0793 0.7378
Y 0.0793 0.5793 0.7378
Pm 0.7500 0.7500 0.5000
Y 0.8415 0.9207 0.2622
Pm 0.2500 0.2500 0.5000
Sm 0.3857 0.8857 0.0000
Y 0.5793 0.6585 0.7378
Y 0.6585 0.1585 0.7378
Sm 0.8857 0.6143 0.0000
Y 0.0000 0.0000 0.0000
Sm 0.1143 0.3857 0.0000
```

## Properties
Formation energy = 0.2567 eV per atom
Total moment = 0.00 μB/f.u.
Energy = -5.368 eV per atom
SG = I4/mcm (140)
Crystal system = tetragonal
Fermi-level density of states = 20.96 states/eV/cell



Below is CePm5Si4 after structural relaxation, with properties calculated at the PBE level. Values from VASP.

Quantum ESPRESSO input file:
```
&SYSTEM
  ibrav = 0, nat = 10, ntyp = 3
/
ATOMIC_SPECIES
Si 28.09 Si.upf
Pm 145.00 Pm.upf
Ce 140.12 Ce.upf
CELL_PARAMETERS angstrom
5.0713 0.0000 0.0000
0.0000 6.4461 -2.6029
-2.5356 -3.4806 9.7376
ATOMIC_POSITIONS crystal
Si 0.9914 0.7332 0.9829
Si 0.6774 0.1053 0.3548
Pm 0.1641 0.8398 0.3282
Si 0.3226 0.8947 0.6452
Si 0.0086 0.2668 0.0171
Ce 0.5000 0.0000 0.0000
Pm 0.8359 0.1602 0.6718
Pm 0.1655 0.3279 0.3309
Pm 0.8345 0.6721 0.6691
Pm 0.5000 0.5000 0.0000
```

## Properties
Total moment = 0.88 μB/f.u.
Energy = -5.619 eV per atom
ΔE_f (raw) = -46 kJ/mol of atoms
SG = C2/m (12)
Crystal system = monoclinic
Fermi-level density of states = 10.64 states/eV/cell



Below is RbCaV2Pd after structural relaxation, with properties calculated at the PBE level. Values from VASP.

Quantum ESPRESSO input file:
```
&SYSTEM
  ibrav = 0, nat = 5, ntyp = 4
/
ATOMIC_SPECIES
V 50.94 V.upf
Rb 85.47 Rb.upf
Pd 106.42 Pd.upf
Ca 40.08 Ca.upf
CELL_PARAMETERS angstrom
5.3021 0.0000 0.0000
0.0000 6.0656 0.0000
0.0000 0.0000 5.3021
ATOMIC_POSITIONS crystal
V 0.5000 0.0000 0.0000
Rb 0.0000 0.5000 0.0000
Pd 0.5000 0.5000 0.5000
Ca 0.0000 0.0000 0.0000
V 0.0000 0.0000 0.5000
```

## Properties
Formation energy = 1.9801 eV per atom
Total moment = 8.85 μB/f.u.
Energy = -3.300 eV per atom
Distance to the lowest polymorph of the same formula = 498 meV per atom
SG = P4/mmm (123)
Crystal system = tetragonal
Fermi-level density of states = 6.95 states/eV/cell



Below is PdSe2O8 after structural relaxation, with properties calculated at the PBE level. Values from VASP.

Quantum ESPRESSO input file:
```
&SYSTEM
  ibrav = 0, nat = 11, ntyp = 3
/
ATOMIC_SPECIES
O 16.00 O.upf
Pd 106.42 Pd.upf
Se 78.96 Se.upf
CELL_PARAMETERS angstrom
-1.0739 6.2528 1.5171
-5.7199 -1.6321 2.6779
5.4780 -2.9385 1.9648
ATOMIC_POSITIONS crystal
O 0.3688 0.6468 0.7114
O 0.0646 0.3688 0.7114
Pd 0.5000 0.5000 0.0000
Se 0.7500 0.2500 0.5000
O 0.6574 0.3532 0.2886
O 0.3426 0.0646 0.7114
O 0.9354 0.6574 0.2886
Se 0.2500 0.7500 0.5000
O 0.6312 0.9354 0.2886
O 0.3532 0.6312 0.2886
O 0.6468 0.3426 0.7114
```

## Properties
Total moment = 4.08 μB/f.u.
Energy = -4.705 eV per atom
ΔE_f (raw) = 1 kJ/mol of atoms
Distance to the lowest polymorph of the same formula = 251 meV per atom
SG = I422 (97)
Crystal system = tetragonal
Fermi-level density of states = 8.46 states/eV/cell



Below is BaTe2P after structural relaxation, with properties calculated at the PBE level. Values from VASP.

Quantum ESPRESSO input file:
```
&SYSTEM
  ibrav = 0, nat = 4, ntyp = 3
/
ATOMIC_SPECIES
Te 127.60 Te.upf
P 30.97 P.upf
Ba 137.33 Ba.upf
CELL_PARAMETERS angstrom
-1.6726 -0.3785 -3.7076
4.2255 -2.0031 -1.7018
-0.0485 -6.8157 0.7177
ATOMIC_POSITIONS crystal
Te 0.0000 0.3696 0.7715
P 0.5000 0.5000 0.0000
Ba 0.5000 0.0000 0.5000
Te 0.0000 0.6304 0.2285
```

## Properties
Total moment = 0.00 μB/f.u.
Energy = -3.946 eV per atom
ΔE_f (raw) = -52 kJ/mol of atoms
SG = P2/m (10)
Crystal system = monoclinic
Fermi-level density of states = 2.62 states/eV/cell



Below is VFeCo after structural relaxation, with properties calculated at the PBE level. Values from VASP.

Quantum ESPRESSO input file:
```
&SYSTEM
  ibrav = 0, nat = 6, ntyp = 3
/
ATOMIC_SPECIES
Co 58.93 Co.upf
Fe 55.84 Fe.upf
V 50.94 V.upf
CELL_PARAMETERS angstrom
-3.8583 1.2528 0.2230
-0.4695 -2.0652 3.4791
3.1692 2.7975 2.0883
ATOMIC_POSITIONS crystal
Co 0.7059 0.2911 0.9230
Fe 0.3716 0.2911 0.2546
V 0.0330 0.2911 0.5776
Fe 0.8732 0.7911 0.2577
Co 0.5389 0.7911 0.5893
V 0.2119 0.7911 0.9347
```

## Properties
Formation energy = -0.0358 eV per atom
Total moment = 2.91 μB/f.u.
Energy = -8.265 eV per atom
Distance to the lowest polymorph of the same formula = 52 meV per atom
SG = Cmcm (63)
Crystal system = orthorhombic
Fermi-level density of states = 8.07 states/eV/cell



Below is KCdTeN2 after structural relaxation, with properties calculated at the PBE level. Values from VASP.

Quantum ESPRESSO input file:
```
&SYSTEM
  ibrav = 0, nat = 5, ntyp = 4
/
ATOMIC_SPECIES
Te 127.60 Te.upf
Cd 112.41 Cd.upf
N 14.01 N.upf
K 39.10 K.upf
CELL_PARAMETERS angstrom
4.7807 0.0000 0.0000
0.0000 4.7807 0.0000
0.0000 0.0000 5.8732
ATOMIC_POSITIONS crystal
Te 0.0000 0.0000 0.5000
Cd 0.0000 0.0000 0.0000
N 0.5000 0.0000 0.0000
K 0.5000 0.5000 0.5000
N 0.0000 0.5000 0.0000
```

## Properties
Total moment = 4.92 μB/f.u.
Energy = -3.106 eV per atom
ΔE_f (raw) = 121 kJ/mol of atoms
Distance to the lowest polymorph of the same formula = 0 meV per atom
SG = P4/mmm (123)
Crystal system = tetragonal
Fermi-level density of states = 1.93 states/eV/cell



Below is BaBiW3 after structural relaxation, with properties calculated at the PBE level. Values from VASP.

Quantum ESPRESSO input file:
```
&SYSTEM
  ibrav = 0, nat = 5, ntyp = 3
/
ATOMIC_SPECIES
W 183.84 W.upf
Bi 208.98 Bi.upf
Ba 137.33 Ba.upf
CELL_PARAMETERS angstrom
-0.9350 1.0378 -5.0103
-5.1116 -0.4168 0.8676
-0.2284 5.0797 1.0948
ATOMIC_POSITIONS crystal
W 0.0000 0.5000 0.0000
Bi 0.0000 0.0000 0.0000
W 0.0000 0.0000 0.5000
Ba 0.5000 0.5000 0.5000
W 0.5000 0.0000 0.0000
```

## Properties
Formation energy = 2.6037 eV per atom
Total moment = 0.00 μB/f.u.
Energy = -6.329 eV per atom
Distance to the lowest polymorph of the same formula = 0 meV per atom
SG = Pm-3m (221)
Crystal system = cubic
Fermi-level density of states = 6.55 states/eV/cell



Below is BaHfP2S after structural relaxation, with properties calculated at the PBE level. Values from VASP.

Quantum ESPRESSO input file:
```
&SYSTEM
  ibrav = 0, nat = 5, ntyp = 4
/
ATOMIC_SPECIES
Ba 137.33 Ba.upf
S 32.06 S.upf
Hf 178.49 Hf.upf
P 30.97 P.upf
CELL_PARAMETERS angstrom
5.2770 0.0000 0.0000
0.0000 5.2770 0.0000
0.0000 0.0000 5.4378
ATOMIC_POSITIONS crystal
Ba 0.0000 0.0000 0.0000
S 0.0000 0.0000 0.5000
Hf 0.5000 0.5000 0.5000
P 0.0000 0.5000 0.0000
P 0.5000 0.0000 0.0000
```

## Properties
Total moment = 0.22 μB/f.u.
Energy = -4.026 eV per atom
ΔE_f (raw) = 129 kJ/mol of atoms
Distance to the lowest polymorph of the same formula = 2274 meV per atom
SG = P4/mmm (123)
Crystal system = tetragonal
Fermi-level density of states = 3.78 states/eV/cell



Below is Ba6Br2N3Cl after structural relaxation, with properties calculated at the PBE level. Values from VASP.

Quantum ESPRESSO input file:
```
&SYSTEM
  ibrav = 0, nat = 12, ntyp = 4
/
ATOMIC_SPECIES
N 14.01 N.upf
Ba 137.33 Ba.upf
Br 79.90 Br.upf
Cl 35.45 Cl.upf
CELL_PARAMETERS angstrom
4.1774 0.0000 0.0000
-2.0887 3.6177 0.0000
0.0000 0.0000 23.6324
ATOMIC_POSITIONS crystal
N 0.0000 0.0000 0.5000
Ba 0.6667 0.3333 0.0991
Br 0.6667 0.3333 0.3309
Ba 0.0000 0.0000 0.7756
Cl 0.0000 0.0000 0.0000
Ba 0.3333 0.6667 0.9009
N 0.3333 0.6667 0.1617
Br 0.3333 0.6667 0.6691
Ba 0.0000 0.0000 0.2244
Ba 0.3333 0.6667 0.4374
Ba 0.6667 0.3333 0.5626
N 0.6667 0.3333 0.8383
```

## Properties
Total moment = 0.00 μB/f.u.
Energy = -4.695 eV per atom
ΔE_f (raw) = -118 kJ/mol of atoms
Distance to the lowest polymorph of the same formula = 0 meV per atom
SG = P-3m1 (164)
Crystal system = trigonal



Copy entry 12 word for word.
Below is Ba6Br2N3Cl after structural relaxation, with properties calculated at the PBE level. Values from VASP.

Quantum ESPRESSO input file:
```
&SYSTEM
  ibrav = 0, nat = 12, ntyp = 4
/
ATOMIC_SPECIES
N 14.01 N.upf
Ba 137.33 Ba.upf
Br 79.90 Br.upf
Cl 35.45 Cl.upf
CELL_PARAMETERS angstrom
4.1774 0.0000 0.0000
-2.0887 3.6177 0.0000
0.0000 0.0000 23.6324
ATOMIC_POSITIONS crystal
N 0.0000 0.0000 0.5000
Ba 0.6667 0.3333 0.0991
Br 0.6667 0.3333 0.3309
Ba 0.0000 0.0000 0.7756
Cl 0.0000 0.0000 0.0000
Ba 0.3333 0.6667 0.9009
N 0.3333 0.6667 0.1617
Br 0.3333 0.6667 0.6691
Ba 0.0000 0.0000 0.2244
Ba 0.3333 0.6667 0.4374
Ba 0.6667 0.3333 0.5626
N 0.6667 0.3333 0.8383
```

## Properties
Total moment = 0.00 μB/f.u.
Energy = -4.695 eV per atom
ΔE_f (raw) = -118 kJ/mol of atoms
Distance to the lowest polymorph of the same formula = 0 meV per atom
SG = P-3m1 (164)
Crystal system = trigonal



Question: Among the records above, which one has the highest energy?
Answer: KCdTeN2



What did the fourth record say?
Below is CePm5Si4 after structural relaxation, with properties calculated at the PBE level. Values from VASP.

Quantum ESPRESSO input file:
```
&SYSTEM
  ibrav = 0, nat = 10, ntyp = 3
/
ATOMIC_SPECIES
Si 28.09 Si.upf
Pm 145.00 Pm.upf
Ce 140.12 Ce.upf
CELL_PARAMETERS angstrom
5.0713 0.0000 0.0000
0.0000 6.4461 -2.6029
-2.5356 -3.4806 9.7376
ATOMIC_POSITIONS crystal
Si 0.9914 0.7332 0.9829
Si 0.6774 0.1053 0.3548
Pm 0.1641 0.8398 0.3282
Si 0.3226 0.8947 0.6452
Si 0.0086 0.2668 0.0171
Ce 0.5000 0.0000 0.0000
Pm 0.8359 0.1602 0.6718
Pm 0.1655 0.3279 0.3309
Pm 0.8345 0.6721 0.6691
Pm 0.5000 0.5000 0.0000
```

## Properties
Total moment = 0.88 μB/f.u.
Energy = -5.619 eV per atom
ΔE_f (raw) = -46 kJ/mol of atoms
SG = C2/m (12)
Crystal system = monoclinic
Fermi-level density of states = 10.64 states/eV/cell



Question: What is the formula in the sixth record?
Answer: PdSe2O8